Entry 1:
The following is a PBE-GGA calculation of crystalline LaCN2F at its relaxed geometry, from the Alexandria database.

Values from the calculation:
As for the raw formation energy: 0.078 eV per atom. As for the energy: -32.3 eV/cell. As for the space group: P4/mmm, No. 123. The calculation puts the density of states at the Fermi level at 0.1317 states/eV/atom.

Cell: 3.547 3.547 4.205 Å, 90.00 90.00 90.00°
Fractional positions:
La 0.000 0.000 0.000
C 0.500 0.500 0.500
N 0.000 0.500 0.500
N 0.500 0.000 0.500
F 0.500 0.500 0.000

=====

Entry 2:
The following is a PBE-GGA calculation of crystalline Zr2FeRh at its relaxed geometry, from the Alexandria database.

Values from the calculation:
As for the energy: -67.9 eV/cell. As for the space group: I-4m2, No. 119. The calculation puts the density of states at the Fermi level at 1.1697 states/eV/atom.

Cell: 3.845 3.845 9.431 Å, 90.00 90.00 90.00°
Fractional positions:
Zr 0.000 0.000 0.000
Zr 0.000 0.500 0.250
Zr 0.500 0.000 0.750
Zr 0.500 0.500 0.500
Fe 0.000 0.500 0.750
Fe 0.500 0.000 0.250
Rh 0.000 0.000 0.500
Rh 0.500 0.500 0.000

=====

Entry 3:
The following is a PBE-GGA calculation of crystalline Pm5SmHo2 at its relaxed geometry, from the Alexandria database.

Values from the calculation:
As for the energy: -72.8 eV/cell. As for the space group: C2/c, No. 15. The calculation puts the density of states at the Fermi level at 1.6555 states/eV/atom.

Cell: 9.762 9.762 6.561 Å, 98.07 98.07 61.72°
Fractional positions:
Pm 0.055 0.945 0.750
Pm 0.113 0.288 0.018
Pm 0.288 0.113 0.518
Pm 0.308 0.500 0.859
Pm 0.500 0.308 0.359
Pm 0.500 0.692 0.641
Pm 0.692 0.500 0.141
Pm 0.712 0.887 0.482
Pm 0.887 0.712 0.982
Pm 0.945 0.055 0.250
Sm 0.000 0.500 0.500
Sm 0.500 0.000 0.000
Ho 0.177 0.667 0.373
Ho 0.333 0.823 0.127
Ho 0.667 0.177 0.873
Ho 0.823 0.333 0.627

=====

Entry 4:
The following is a PBE-GGA calculation of crystalline Ac4Rh2Cl3 at its relaxed geometry, from the Alexandria database.

Values from the calculation:
As for the raw formation energy: -1.420 eV per atom. As for the energy: -49.5 eV/cell. As for the space group: C2/m, No. 12. The calculation puts the density of states at the Fermi level at 0.4635 states/eV/atom.

Cell: 4.303 4.303 18.647 Å, 90.05 90.05 60.00°
Fractional positions:
Ac 0.001 0.001 0.309
Ac 0.333 0.333 0.128
Ac 0.667 0.667 0.872
Ac 0.999 0.999 0.691
Rh 0.333 0.333 0.787
Rh 0.667 0.667 0.213
Cl 0.000 0.000 0.000
Cl 0.334 0.334 0.408
Cl 0.666 0.666 0.592

=====

Entry 5:
The following is a PBE-GGA calculation of crystalline RbTl2HgPd at its relaxed geometry, from the Alexandria database.

Values from the calculation:
As for the energy: -11.5 eV/cell. As for the space group: P4/mmm, No. 123. The calculation puts the density of states at the Fermi level at 0.6440 states/eV/atom.

Cell: 5.353 5.353 6.410 Å, 90.00 90.00 90.00°
Fractional positions:
Rb 0.000 0.000 0.000
Tl 0.000 0.500 0.500
Tl 0.500 0.000 0.500
Hg 0.500 0.500 0.000
Pd 0.000 0.000 0.500

=====

Entry 6:
The following is a PBE-GGA calculation of crystalline Ac8ErTm2 at its relaxed geometry, from the Alexandria database.

Values from the calculation:
As for the energy: -44.8 eV/cell. As for the space group: Immm, No. 71. The calculation puts the density of states at the Fermi level at 1.8333 states/eV/atom.

Cell: 9.971 9.971 9.971 Å, 146.35 121.86 68.88°
Fractional positions:
Ac 0.128 0.342 0.787
Ac 0.146 0.146 0.000
Ac 0.309 0.000 0.309
Ac 0.445 0.658 0.787
Ac 0.555 0.342 0.213
Ac 0.691 0.000 0.691
Ac 0.854 0.854 0.000
Ac 0.872 0.658 0.213
Er 0.000 0.500 0.500
Tm 0.298 0.798 0.500
Tm 0.702 0.202 0.500

=====

Entry 7:
The following is a PBE-GGA calculation of crystalline NaHg2H at its relaxed geometry, from the Alexandria database.

Values from the calculation:
As for the energy: -10.8 eV/cell. As for the space group: P-1, No. 2. The calculation puts the density of states at the Fermi level at 0.0558 states/eV/atom.

Cell: 3.827 4.542 10.436 Å, 89.78 80.25 89.98°
Fractional positions:
Na 0.219 0.249 0.069
Na 0.781 0.751 0.931
Hg 0.075 0.251 0.395
Hg 0.365 0.248 0.735
Hg 0.635 0.752 0.265
Hg 0.925 0.749 0.605
H 0.226 0.749 0.049
H 0.774 0.251 0.951

=====

Entry 8:
The following is a PBE-GGA calculation of crystalline TaPtAu at its relaxed geometry, from the Alexandria database.

Values from the calculation:
As for the energy: -88.1 eV/cell. As for the space group: C2/m, No. 12. The calculation puts the density of states at the Fermi level at 0.6840 states/eV/atom.

Cell: 8.998 3.316 7.344 Å, 90.00 100.46 90.00°
Fractional positions:
Ta 0.105 0.000 0.215
Ta 0.395 0.500 0.785
Ta 0.605 0.500 0.215
Ta 0.895 0.000 0.785
Pt 0.126 0.500 0.913
Pt 0.374 0.000 0.087
Pt 0.626 0.000 0.913
Pt 0.874 0.500 0.087
Au 0.153 0.000 0.599
Au 0.347 0.500 0.401
Au 0.653 0.500 0.599
Au 0.847 0.000 0.401